[1]
! PBE-GGA MgSe, relaxed; values from VASP
&SYSTEM
  ibrav = 0, nat = 12, ntyp = 2
/
ATOMIC_SPECIES
Mg 24.30 Mg.upf
Se 78.96 Se.upf
CELL_PARAMETERS angstrom
4.365 0.000 0.000
-2.183 3.781 0.000
0.000 0.000 24.116
ATOMIC_POSITIONS crystal
Mg 0.000 0.000 0.205
Mg 0.000 0.000 0.795
Mg 0.333 0.667 0.544
Mg 0.333 0.667 0.116
Mg 0.667 0.333 0.884
Mg 0.667 0.333 0.456
Se 0.000 0.000 0.093
Se 0.000 0.000 0.907
Se 0.333 0.667 0.432
Se 0.333 0.667 0.228
Se 0.667 0.333 0.772
Se 0.667 0.333 0.568
! SG: P-3m1 (164)
! energy relative to the elements, uncorrected: -1.176 eV per atom
! spin magnetization: 0.0 μB/f.u.
! N(E_F): 0.000 states/eV/cell

[2]
! PBE-GGA ZrTaMo2, relaxed; values from VASP
&SYSTEM
  ibrav = 0, nat = 4, ntyp = 3
/
ATOMIC_SPECIES
Mo 95.94 Mo.upf
Ta 180.95 Ta.upf
Zr 91.22 Zr.upf
CELL_PARAMETERS angstrom
2.907 0.003 0.000
-1.049 2.712 0.000
0.000 0.000 9.027
ATOMIC_POSITIONS crystal
Mo 0.000 0.000 0.010
Mo 0.000 0.000 0.490
Ta 0.500 0.500 0.250
Zr 0.500 0.500 0.750
! SG: Cmmm (65)
! spin magnetization: 0.0 μB/f.u.
! E_form: 0.02 eV/atom
! energy above the lowest structure with this stoichiometry: 0.090 eV per atom
! N(E_F): 4.811 states/eV/cell